The following is a DFT calculation (GGA-PBE) of a relaxed Pr3BiTe crystal.

Lattice parameters (Å, degrees): 8.582 4.557 17.272 90.00 90.00 90.00
Sites, in units of the cell vectors:
Pr 0.014 0.250 0.107
Pr 0.136 0.250 0.558
Pr 0.168 0.750 0.276
Pr 0.332 0.250 0.776
Pr 0.364 0.750 0.058
Pr 0.486 0.750 0.607
Pr 0.514 0.250 0.393
Pr 0.636 0.250 0.942
Pr 0.668 0.750 0.224
Pr 0.832 0.250 0.724
Pr 0.864 0.750 0.442
Pr 0.986 0.750 0.893
Bi 0.113 0.750 0.699
Bi 0.387 0.250 0.199
Bi 0.613 0.750 0.801
Bi 0.887 0.250 0.301
Te 0.227 0.250 0.951
Te 0.273 0.750 0.451
Te 0.727 0.250 0.549
Te 0.773 0.750 0.049

Output
Formation energy without anion corrections (eV/atom): -0.9625
E above lowest polymorph (meV per atom): 0
V (A^3/atom): 33.77

=====

The following is a DFT calculation (GGA-PBE) of a relaxed Cs2HgGe crystal.

Lattice parameters (Å, degrees): 9.055 9.055 9.055 90.00 90.00 90.00
Sites, in units of the cell vectors:
Cs 0.250 0.250 0.250
Cs 0.250 0.250 0.750
Cs 0.250 0.750 0.250
Cs 0.250 0.750 0.750
Cs 0.750 0.250 0.250
Cs 0.750 0.250 0.750
Cs 0.750 0.750 0.250
Cs 0.750 0.750 0.750
Hg 0.000 0.000 0.000
Hg 0.000 0.500 0.500
Hg 0.500 0.000 0.500
Hg 0.500 0.500 0.000
Ge 0.000 0.000 0.500
Ge 0.000 0.500 0.000
Ge 0.500 0.000 0.000
Ge 0.500 0.500 0.500

Output
Calculated formation energy (eV per formula unit): 0.4
E above lowest polymorph (meV per atom): 277
V (A^3/atom): 46.40

=====

The following is a DFT calculation (GGA-PBE) of a relaxed Sm3SiIr3 crystal.

Lattice parameters (Å, degrees): 5.648 5.648 14.811 107.61 107.61 42.28
Sites, in units of the cell vectors:
Sm 0.014 0.014 0.381
Sm 0.109 0.109 0.926
Sm 0.243 0.243 0.223
Sm 0.757 0.757 0.777
Sm 0.891 0.891 0.074
Sm 0.986 0.986 0.619
Si 0.272 0.272 0.611
Si 0.728 0.728 0.389
Ir 0.331 0.331 0.461
Ir 0.384 0.384 0.923
Ir 0.458 0.458 0.761
Ir 0.542 0.542 0.239
Ir 0.616 0.616 0.077
Ir 0.669 0.669 0.539

Output
Formation energy without anion corrections (eV/atom): -0.8113
V (A^3/atom): 21.48

=====

The following is a DFT calculation (GGA-PBE) of a relaxed La2AlSi crystal.

Lattice parameters (Å, degrees): 3.633 4.051 7.126 90.00 90.00 90.00
Sites, in units of the cell vectors:
La 0.000 0.000 0.234
La 0.000 0.000 0.766
Al 0.500 0.500 0.500
Si 0.500 0.500 0.000

Output
Formation energy without anion corrections (eV/atom): -0.4248
V (A^3/atom): 26.22

=====

The following is a DFT calculation (GGA-PBE) of a relaxed Ta4Si23 crystal.

Lattice parameters (Å, degrees): 9.947 9.947 9.947 90.00 90.00 90.00
Sites, in units of the cell vectors:
Ta 0.000 0.000 0.000
Ta 0.000 0.250 0.500
Ta 0.000 0.750 0.500
Ta 0.250 0.500 0.000
Ta 0.500 0.000 0.250
Ta 0.500 0.000 0.750
Ta 0.500 0.500 0.500
Ta 0.750 0.500 0.000
Si 0.000 0.313 0.115
Si 0.000 0.313 0.885
Si 0.000 0.500 0.250
Si 0.000 0.500 0.750
Si 0.000 0.687 0.115
Si 0.000 0.687 0.885
Si 0.115 0.000 0.313
Si 0.115 0.000 0.687
Si 0.182 0.182 0.182
Si 0.182 0.182 0.818
Si 0.182 0.818 0.182
Si 0.182 0.818 0.818
Si 0.187 0.500 0.385
Si 0.187 0.500 0.615
Si 0.250 0.000 0.500
Si 0.313 0.115 0.000
Si 0.313 0.885 0.000
Si 0.318 0.318 0.318
Si 0.318 0.318 0.682
Si 0.318 0.682 0.318
Si 0.318 0.682 0.682
Si 0.385 0.187 0.500
Si 0.385 0.813 0.500
Si 0.500 0.250 0.000
Si 0.500 0.385 0.187
Si 0.500 0.385 0.813
Si 0.500 0.615 0.187
Si 0.500 0.615 0.813
Si 0.500 0.750 0.000
Si 0.615 0.187 0.500
Si 0.615 0.813 0.500
Si 0.682 0.318 0.318
Si 0.682 0.318 0.682
Si 0.682 0.682 0.318
Si 0.682 0.682 0.682
Si 0.687 0.115 0.000
Si 0.687 0.885 0.000
Si 0.750 0.000 0.500
Si 0.813 0.500 0.385
Si 0.813 0.500 0.615
Si 0.818 0.182 0.182
Si 0.818 0.182 0.818
Si 0.818 0.818 0.182
Si 0.818 0.818 0.818
Si 0.885 0.000 0.313
Si 0.885 0.000 0.687

Output
Formation energy without anion corrections (eV/atom): 0.7038
V (A^3/atom): 18.23

=====

The following is a DFT calculation (GGA-PBE) of a relaxed CsGa3H crystal.

Lattice parameters (Å, degrees): 4.987 4.987 4.987 90.00 90.00 90.00
Sites, in units of the cell vectors:
Cs 0.000 0.000 0.000
Ga 0.000 0.500 0.500
Ga 0.500 0.000 0.500
Ga 0.500 0.500 0.000
H 0.500 0.500 0.500

Output
V (A^3/atom): 24.80
Raw total energy (eV/cell): -10.67